A plane-wave DFT calculation with PBE was carried out for a geometry-optimized HfNb3W structure.

Cell: 4.7987 4.7987 4.7987 Å, 90.00 90.00 90.00°
Last column: nearest neighbours and their distance in Å.
Space group Pm-3m (No. 221)
Symmetry-distinct sites (fractional):
1 Hf 0.0000 0.0000 0.0000 x1  6 Nb 2.40
2 Nb 0.0000 0.0000 0.5000 x3  2 Hf 2.40
3 W 0.5000 0.5000 0.5000 x1  12 Nb 3.39

* ρ: 9.63 g/cm³
* uncorrected energy: -8.55 eV/atom
* excess energy over the best structure of this formula in the dataset: 1981 meV per atom
* D(E_F): 6.556 states/eV/cell
* energy of formation from the pure elements: 200 kJ/mol of atoms

A plane-wave DFT calculation with PBE was carried out for a geometry-optimized Ac3Tb6Pm structure.

Cell: 11.4859 5.3014 11.7313 Å, 90.00 91.61 90.00°
Last column: nearest neighbours and their distance in Å.
Space group P2_1/m (No. 11)
Symmetry-distinct sites (fractional):
1 Ac 0.0497 0.2500 0.4009 x2  8 Tb 3.67-3.76, 4 Ac 3.73-3.75
2 Ac 0.1509 0.7500 0.2007 x2  8 Tb 3.68-3.79, 4 Ac 3.75-3.78
3 Ac 0.2539 0.2500 0.9966 x2  10 Tb 3.60-3.79, 2 Ac 3.78
4 Tb 0.0546 0.7500 0.8978 x2  5 Tb 3.66-3.81, 7 Ac 3.67-3.79
5 Tb 0.1594 0.2500 0.6990 x2  1 Pm 3.56, 5 Ac 3.63-3.79, 6 Tb 3.63-3.75
6 Tb 0.2597 0.7500 0.5039 x2  5 Tb 3.58-3.74, 3 Pm 3.58-3.61, 4 Ac 3.74-3.76
7 Tb 0.3538 0.7500 0.7976 x2  8 Tb 3.55-3.72, 2 Pm 3.70, 2 Ac 3.73
8 Tb 0.3578 0.2500 0.3039 x2  5 Tb 3.55-3.74, 3 Pm 3.60-3.62, 4 Ac 3.74-3.77
9 Tb 0.4524 0.7500 0.1022 x2  4 Ac 3.60-3.69, 1 Pm 3.62, 7 Tb 3.64-3.76
10 Pm 0.4505 0.2500 0.6016 x2  10 Tb 3.56-3.70, 2 Pm 3.76

* ρ: 8.28 g/cm³
* uncorrected energy: -4.44 eV/atom
* D(E_F): 28.492 states/eV/cell
* energy of formation from the pure elements: 5 kJ/mol of atoms

A plane-wave DFT calculation with PBE was carried out for a geometry-optimized TiSeO2 structure.

Cell: 5.9226 5.9226 8.3615 Å, 90.00 90.00 90.00°
Last column: nearest neighbours and their distance in Å.
Space group I4_1/amd (No. 141, origin choice 2)
Symmetry-distinct sites (fractional):
1 Ti 0.0000 0.2500 0.3750 x4  4 O 1.81
2 Se 0.0000 0.2500 0.8750 x4  12 O 3.47, 4 Se 3.62, 4 Ti 3.62
3 O 0.0000 0.0000 0.5000 x8  2 Ti 1.81

* energy relative to the elements, uncorrected: -6.9 eV per formula unit
* ρ: 3.60 g/cm³
* uncorrected energy: -7.04 eV/atom
* D(E_F): 44.799 states/eV/cell

A plane-wave DFT calculation with PBE was carried out for a geometry-optimized CsAgHg2Bi structure.

Cell: 6.0471 6.0471 5.6536 Å, 90.00 90.00 90.00°
Last column: nearest neighbours and their distance in Å.
Space group P4/mmm (No. 123)
Symmetry-distinct sites (fractional):
1 Cs 0.0000 0.0000 0.0000 x1  8 Hg 4.14, 4 Ag 4.28
2 Ag 0.5000 0.5000 0.0000 x1  2 Bi 2.83
3 Hg 0.0000 0.5000 0.5000 x2  2 Bi 3.02
4 Bi 0.5000 0.5000 0.5000 x1  2 Ag 2.83, 4 Hg 3.02

* ρ: 6.83 g/cm³
* uncorrected energy: -1.66 eV/atom
* D(E_F): 1.604 states/eV/cell
* energy of formation from the pure elements: -2 kJ/mol of atoms